Material: PrCuNi3
Method: DFT, PBE-GGA
State: optimized geometry

Calculated values
The value obtained for the final energy is -5.013 eV per atom. The space group is Pbam. Its volume is 17.2 Å³/atom. Its energy above the most stable polymorph in this dataset is 320 meV per atom.

```
PrCuNi3
1.0
4.4265 0.0000 0.0000
0.0000 5.4203 0.0000
0.0000 0.0000 7.1737
Ni Pr Cu
6 2 2
Cartesian
2.2133 2.7102 0.0000
0.0000 4.0609 1.7962
0.0000 1.3595 5.3775
2.2133 0.0000 3.5869
0.0000 1.3507 1.7906
0.0000 4.0696 5.3831
2.2133 0.0000 0.0000
2.2133 2.7102 3.5869
0.0000 0.0000 3.5869
0.0000 2.7102 0.0000
```

Material: PrCu2Ni2
Method: DFT, PBE-GGA
State: optimized geometry

Calculated values
The value obtained for the final energy is -4.956 eV per atom. The space group is Fddd. Its volume is 16.5 Å³/atom. Its energy above the most stable polymorph in this dataset is 102 meV per atom.

```
PrCu2Ni2
1.0
5.4323 -0.5968 -0.0042
-2.4043 4.9077 -0.0042
-1.5103 -2.1501 6.5385
Ni Pr Cu
4 2 4
Cartesian
1.6653 -0.3630 1.6325
-1.0477 -0.0628 4.9018
-0.1475 2.5239 4.8976
2.5655 2.2237 1.6284
2.1174 0.9329 4.8976
-0.5996 1.2279 1.6325
0.6062 -1.2219 6.2267
0.9116 3.3828 0.3034
0.6037 -1.2254 3.5769
0.9141 3.3863 2.9533
```

Material: Pr2CuNi
Method: DFT, PBE-GGA
State: optimized geometry

Calculated values
The value obtained for the final energy is -5.017 eV per atom. The space group is P4/mmm. Its volume is 22.8 Å³/atom.

```
Pr2CuNi
1.0
-0.1288 0.0091 -3.5647
-1.6363 -3.1692 0.0510
-6.3514 3.2831 0.2378
Cu Pr Ni
1 2 1
Cartesian
-4.0582 0.0615 -1.6379
-4.8143 2.4886 0.1803
-1.5371 0.7946 0.0576
-0.8825 -1.5800 -1.7569
```